A plane-wave DFT calculation with PBE-GGA was carried out for a relaxed structure of BeFe2Cl.

```
BeFe2Cl
1.0
-1.096 -3.945 0.528
2.554 -3.026 -1.166
1.901 -2.307 2.846
Fe Be Cl
2 1 1
Direct
0.000 0.000 0.000
0.250 0.250 0.250
0.500 0.500 0.500
0.750 0.750 0.750
```

* calculated volume: 12.4 Å³/atom
* polymorph energy (0 for the lowest one): 677 meV/atom
* DOS at the Fermi energy: 1.68 states/eV per cell